Density functional theory data (PBE-GGA) for an optimized crystal structure of CaAgMo2.

Unit cell a=2.705 b=5.109 c=5.445 alpha=90.00 beta=90.00 gamma=90.00
Element x y z (fractional)
1 Mo 0.000 0.000 0.991
2 Mo 0.000 0.000 0.509
3 Ag 0.500 0.500 0.250
4 Ca 0.500 0.500 0.750

SG: Pmmm (47)
Formation energy from the elements in eV/atom: 0.707

---

Density functional theory data (PBE-GGA) for an optimized crystal structure of CaAgMo2.

Unit cell a=3.301 b=4.406 c=5.167 alpha=90.00 beta=90.00 gamma=90.00
Element x y z (fractional)
1 Ag 0.500 0.000 0.500
2 Mo 0.500 0.500 0.000
3 Mo 0.000 0.000 0.000
4 Ca 0.000 0.500 0.500

SG: Pmmm (47)
Formation energy from the elements in eV/atom: 0.607

---

Density functional theory data (PBE-GGA) for an optimized crystal structure of CaAgMo2.

Unit cell a=5.847 b=5.847 c=2.719 alpha=81.99 beta=81.99 gamma=123.74
Element x y z (fractional)
1 Mo 0.000 0.000 0.000
2 Mo 0.500 0.500 0.000
3 Ag 0.500 0.000 0.500
4 Ca 0.000 0.500 0.500

SG: C2/m (12)
Formation energy from the elements in eV/atom: 0.632

---

Density functional theory data (PBE-GGA) for an optimized crystal structure of CaAgMo2.

Unit cell a=2.728 b=2.728 c=9.831 alpha=90.00 beta=90.00 gamma=90.00
Element x y z (fractional)
1 Mo 0.000 0.000 0.482
2 Ag 0.500 0.500 0.250
3 Mo 0.000 0.000 0.018
4 Ca 0.500 0.500 0.750

SG: P4/mmm (123)
Formation energy from the elements in eV/atom: 0.699

---

Density functional theory data (PBE-GGA) for an optimized crystal structure of CaTlAgMoN.

Unit cell a=3.151 b=3.151 c=30.791 alpha=90.00 beta=90.00 gamma=120.00
Element x y z (fractional)
1 Ca 0.000 0.000 0.398
2 Ag 0.000 0.000 0.819
3 Tl 0.333 0.667 0.901
4 N 0.000 0.000 0.685
5 Tl 0.000 0.000 0.234
6 Ca 0.333 0.667 0.064
7 Mo 0.333 0.667 0.646
8 N 0.667 0.333 0.018
9 Ca 0.667 0.333 0.731
10 N 0.333 0.667 0.351
11 Tl 0.667 0.333 0.567
12 Mo 0.667 0.333 0.313
13 Ag 0.333 0.667 0.486
14 Mo 0.000 0.000 0.980
15 Ag 0.667 0.333 0.152

SG: R3m (160)
ΔE_f (raw) in eV/atom: -0.15

---

Density functional theory data (PBE-GGA) for an optimized crystal structure of CaTlAgMoN.

Unit cell a=3.148 b=3.148 c=10.282 alpha=90.00 beta=90.00 gamma=120.00
Element x y z (fractional)
1 Mo 0.333 0.667 0.373
2 Ag 0.333 0.667 0.856
3 Ca 0.000 0.000 0.119
4 N 0.667 0.333 0.258
5 Tl 0.000 0.000 0.610

SG: P3m1 (156)
ΔE_f (raw) in eV/atom: -0.15

---

Number 1: polymorph energy (0 for the lowest one) 380 meV/atom. Number 2: polymorph energy (0 for the lowest one) 279 meV/atom. Number 3: polymorph energy (0 for the lowest one) 305 meV/atom. Number 4: polymorph energy (0 for the lowest one) 371 meV/atom. Number 5: polymorph energy (0 for the lowest one) 0 meV/atom. Number 6: polymorph energy (0 for the lowest one) 0 meV/atom.